Entry 1:
# PBE-GGA CsTlAg2I5, relaxed
# energy relative to the elements, uncorrected	-579.8	meV/atom
data_CsTlAg2I5
_chemical_formula_sum 'Cs1 Tl1 Ag2 I5'
_space_group_name_H-M_alt 'P 4/m m m'
_space_group_IT_number 123
_space_group_name_Hall '-P 4 2'
_cell_length_a 5.6812
_cell_length_b 5.6812
_cell_length_c 11.6410
_cell_angle_alpha 90.00
_cell_angle_beta 90.00
_cell_angle_gamma 90.00
loop_
_atom_site_label
_atom_site_type_symbol
_atom_site_fract_x
_atom_site_fract_y
_atom_site_fract_z
Cs1 Cs 0.0000 0.0000 0.0000
Tl1 Tl 0.0000 0.0000 0.5000
Ag1 Ag 0.5000 0.5000 0.2564
I1 I 0.0000 0.5000 0.3017
I2 I 0.5000 0.5000 0.0000

---

Entry 2:
# PBE-GGA CsTmAg2I6, relaxed
# energy relative to the elements, uncorrected	-891.7	meV/atom
data_CsTmAg2I6
_chemical_formula_sum 'Cs4 Tm4 Ag8 I24'
_space_group_name_H-M_alt 'C 1 2/c 1'
_space_group_IT_number 15
_space_group_name_Hall '-C 2yc'
_cell_length_a 16.6040
_cell_length_b 14.5520
_cell_length_c 9.3427
_cell_angle_alpha 90.00
_cell_angle_beta 114.44
_cell_angle_gamma 90.00
loop_
_atom_site_label
_atom_site_type_symbol
_atom_site_fract_x
_atom_site_fract_y
_atom_site_fract_z
Cs1 Cs 0.0000 0.1706 0.2500
Tm1 Tm 0.0000 0.1787 0.7500
Ag1 Ag 0.0662 0.4516 0.1327
I1 I 0.1167 0.0667 0.6745
I2 I 0.1207 0.2787 0.0163
I3 I 0.1260 0.4201 0.4642

---

Entry 3:
# PBE-GGA CsTmAgI6, relaxed
# energy relative to the elements, uncorrected	-969.9	meV/atom
data_CsTmAgI6
_chemical_formula_sum 'Cs1 Tm1 Ag1 I6'
_space_group_name_H-M_alt 'P 1'
_space_group_IT_number 1
_space_group_name_Hall 'P 1'
_cell_length_a 7.5408
_cell_length_b 7.6766
_cell_length_c 8.2762
_cell_angle_alpha 93.38
_cell_angle_beta 98.04
_cell_angle_gamma 110.51
loop_
_atom_site_label
_atom_site_type_symbol
_atom_site_fract_x
_atom_site_fract_y
_atom_site_fract_z
Cs1 Cs 0.0000 0.0000 0.0000
Tm1 Tm 0.4112 0.6382 0.5090
Ag1 Ag 0.7947 0.3327 0.4470
I1 I 0.0689 0.5855 0.2511
I2 I 0.1264 0.3096 0.6367
I3 I 0.4253 0.9144 0.7689
I4 I 0.4857 0.3826 0.2451
I5 I 0.6564 0.9379 0.3280
I6 I 0.7091 0.5340 0.7173

---

Entry 4:
# PBE-GGA Cs2TmAgI6, relaxed
# energy relative to the elements, uncorrected	-1214.1	meV/atom
data_Cs2TmAgI6
_chemical_formula_sum 'Cs4 Tm2 Ag2 I12'
_space_group_name_H-M_alt 'P m m n'
_space_group_IT_number 59
_cell_length_a 8.5478
_cell_length_b 12.1739
_cell_length_c 8.5497
_cell_angle_alpha 90.00
_cell_angle_beta 90.00
_cell_angle_gamma 90.00
loop_
_space_group_symop_operation_xyz
'x,y,z'
'-x,-y,-z'
'-x+1/2,-y+1/2,z'
'x+1/2,y+1/2,-z'
'x+1/2,-y,-z'
'-x+1/2,y,z'
'-x,y+1/2,-z'
'x,-y+1/2,z'
loop_
_atom_site_label
_atom_site_type_symbol
_atom_site_fract_x
_atom_site_fract_y
_atom_site_fract_z
Cs1 Cs 0.2500 0.0004 0.2501
Tm1 Tm 0.2500 0.2500 0.7492
Ag1 Ag 0.2500 0.7500 0.7509
I1 I 0.0021 0.2500 0.5009
I2 I 0.0016 0.2500 0.9972
I3 I 0.2500 0.0037 0.7493